[1]
This record from the Alexandria database describes crystalline Tl3CrBi2Te6 at its relaxed geometry. The functional is PBE.

Cell: 7.649 7.649 8.380 Å, 98.72 98.72 119.96°
Site moments in Bohr magnetons follow the coordinates.
Atoms (fractional coordinates):
Tl: 0.822 0.178 0.500  0.00
Te: 0.365 0.067 0.205  -0.05
Tl: 0.500 0.500 0.500  0.00
Te: 0.067 0.365 0.205  -0.05
Bi: 0.335 0.665 0.000  0.05
Te: 0.933 0.635 0.795  -0.05
Tl: 0.178 0.822 0.500  0.00
Bi: 0.665 0.335 0.000  0.05
Te: 0.773 0.773 0.211  -0.05
Te: 0.227 0.227 0.789  -0.05
Cr: 0.000 0.000 0.000  3.07
Te: 0.635 0.933 0.795  -0.05

Calculated values
symmetry = No. 12
energy relative to the elements, uncorrected = -0.2698 eV/atom
crystal system = monoclinic

---

[2]
This record from the Alexandria database describes crystalline Sm2ThAl6 at its relaxed geometry. The functional is PBE.

Cell: 4.362 8.065 8.065 Å, 54.25 74.31 74.31°
Atoms (fractional coordinates):
Al: 0.176 0.510 0.138
Sm: 0.629 0.871 0.871
Al: 0.000 0.818 0.182
Th: 0.500 0.500 0.500
Al: 0.824 0.862 0.490
Al: 0.176 0.138 0.510
Al: 0.824 0.490 0.862
Al: 0.000 0.182 0.818
Sm: 0.371 0.129 0.129

Calculated values
symmetry = No. 71
crystal system = orthorhombic
formation energy = -0.19 eV per atom

---

[3]
This record from the Alexandria database describes crystalline Pm4DyHo2 at its relaxed geometry. The functional is PBE.

Cell: 12.513 12.513 6.789 Å, 97.03 97.03 150.13°
Atoms (fractional coordinates):
Ho: 0.621 0.302 0.450
Ho: 0.302 0.621 0.950
Pm: 0.562 0.599 0.138
Pm: 0.150 0.040 0.105
Pm: 0.712 0.174 0.863
Dy: 0.424 0.674 0.500
Pm: 0.795 0.185 0.395
Pm: 0.040 0.150 0.605
Ho: 0.921 0.102 0.050
Pm: 0.185 0.795 0.895
Ho: 0.102 0.921 0.550
Pm: 0.599 0.562 0.638
Pm: 0.174 0.712 0.363
Dy: 0.674 0.424 0.000

Calculated values
symmetry = No. 43
crystal system = orthorhombic
formation energy = 0.06 eV per atom

---

[4]
This record from the Alexandria database describes crystalline TmPuTl4 at its relaxed geometry. The functional is PBE.

Cell: 5.209 12.356 5.183 Å, 90.00 90.00 90.00°
Site moments in Bohr magnetons follow the coordinates.
Atoms (fractional coordinates):
Tl: 0.500 0.665 0.500  0.03
Tl: 0.000 0.331 0.000  0.01
Tm: 0.500 0.000 0.500  0.36
Tl: 0.500 0.335 0.500  0.03
Tl: 0.000 0.669 0.000  0.01
Tl: 0.000 0.165 0.500  0.03
Pu: 0.000 0.000 0.000  5.66
Tm: 0.000 0.500 0.500  0.36
Pu: 0.500 0.500 0.000  5.66
Tl: 0.500 0.831 0.000  0.01
Tl: 0.500 0.169 0.000  0.01
Tl: 0.000 0.835 0.500  0.03

Calculated values
symmetry = No. 65
crystal system = orthorhombic
formation energy = -0.02 eV per atom

---

[5]
This record from the Alexandria database describes crystalline Lu2GeO5 at its relaxed geometry. The functional is PBE.

Cell: 3.633 10.132 10.969 Å, 90.00 90.00 90.00°
Atoms (fractional coordinates):
O: 0.250 0.993 0.605
O: 0.750 0.244 0.771
O: 0.750 0.776 0.040
Lu: 0.750 0.887 0.221
O: 0.750 0.744 0.729
O: 0.250 0.256 0.271
Ge: 0.750 0.827 0.880
O: 0.250 0.493 0.895
Lu: 0.250 0.613 0.721
Ge: 0.250 0.673 0.380
O: 0.750 0.735 0.382
O: 0.750 0.276 0.460
O: 0.250 0.265 0.618
O: 0.250 0.765 0.882
Lu: 0.750 0.365 0.945
Lu: 0.750 0.865 0.555
Ge: 0.250 0.173 0.120
O: 0.250 0.004 0.155
O: 0.750 0.007 0.395
O: 0.750 0.507 0.105
O: 0.250 0.504 0.345
O: 0.750 0.496 0.655
O: 0.750 0.996 0.845
Ge: 0.750 0.327 0.620
Lu: 0.750 0.387 0.279
O: 0.250 0.724 0.540
Lu: 0.250 0.135 0.445
O: 0.750 0.235 0.118
Lu: 0.250 0.635 0.055
O: 0.250 0.756 0.229
Lu: 0.250 0.113 0.779
O: 0.250 0.224 0.960

Calculated values
symmetry = No. 62
energy relative to the elements, uncorrected = -2.9683 eV/atom
crystal system = orthorhombic

---

[6]
This record from the Alexandria database describes crystalline MnSb2TeW at its relaxed geometry. The functional is PBE.

Cell: 4.946 4.946 5.176 Å, 90.00 90.00 90.00°
Site moments in Bohr magnetons follow the coordinates.
Atoms (fractional coordinates):
W: 0.500 0.500 0.500  2.73
Mn: 0.000 0.000 0.000  2.51
Te: 0.000 0.000 0.500  -0.09
Sb: 0.500 0.000 0.000  -0.13
Sb: 0.000 0.500 0.000  -0.13

Calculated values
symmetry = No. 123
energy relative to the elements, uncorrected = 1.2433 eV/atom
crystal system = tetragonal

---

[7]
This record from the Alexandria database describes crystalline AcPmInIr at its relaxed geometry. The functional is PBE.

Cell: 5.369 5.369 5.369 Å, 60.00 60.00 60.00°
Atoms (fractional coordinates):
Ir: 0.500 0.500 0.500
In: 0.000 0.000 0.000
Pm: 0.750 0.750 0.750
Ac: 0.250 0.250 0.250

Calculated values
symmetry = No. 216
crystal system = cubic
formation energy = -0.33 eV per atom

---

[8]
This record from the Alexandria database describes crystalline NdEr2Pb3 at its relaxed geometry. The functional is PBE.

Cell: 4.872 7.230 10.141 Å, 90.00 90.00 90.00°
Atoms (fractional coordinates):
Pb: 0.000 0.407 0.401
Er: 0.500 0.657 0.499
Nd: 0.000 0.409 0.072
Pb: 0.500 0.627 0.842
Pb: 0.500 0.192 0.842
Er: 0.000 0.909 0.287
Pb: 0.500 0.127 0.158
Er: 0.000 0.409 0.713
Er: 0.500 0.157 0.501
Nd: 0.000 0.909 0.928
Pb: 0.000 0.907 0.599
Pb: 0.500 0.692 0.158

Calculated values
symmetry = No. 26
crystal system = orthorhombic
formation energy = -0.45 eV per atom

---

no.,DFT total energy (eV for the cell shown)
1,-46.6
2,-41.0
3,-64.7
4,-56.7
5,-248.8
6,-27.3
7,-21.8
8,-55.4